(1)
DFT (PBE) results for CsBaSr2Zn after structural relaxation.

abc: 6.5410 6.5410 6.6651
angles: 90.00 90.00 90.00
Sites, in units of the cell vectors:
Cs (0.0000, 0.0000, 0.0000)
Ba (0.5000, 0.5000, 0.0000)
Sr (0.0000, 0.5000, 0.5000)
Sr (0.5000, 0.0000, 0.5000)
Zn (0.5000, 0.5000, 0.5000)

**Calculated total energy**: -7.245 eV/f.u.
**Energy relative to the elements**: 16 kJ/mol of formula units
**M_tot**: 0.00 μB per atom


(2)
DFT (PBE) results for Pm2Tc2Ge2C after structural relaxation.

abc: 5.9421 5.9421 7.1807
angles: 124.01 124.01 40.27
Sites, in units of the cell vectors:
Pm (0.0675, 0.0675, 0.2953)
Pm (0.9325, 0.9325, 0.7047)
Tc (0.2998, 0.2998, 0.9157)
Tc (0.7002, 0.7002, 0.0843)
Ge (0.3492, 0.3492, 0.3086)
Ge (0.6508, 0.6508, 0.6914)
C (0.5000, 0.5000, 0.0000)

**Calculated total energy**: -52.775 eV/f.u.
**Energy relative to the elements**: -394 kJ/mol of formula units
**M_tot**: 0.00 μB per atom


(3)
DFT (PBE) results for Cs2HgSbAu after structural relaxation.

abc: 7.0045 7.0045 5.2607
angles: 90.00 90.00 90.00
Sites, in units of the cell vectors:
Cs (0.0000, 0.5000, 0.0000)
Cs (0.5000, 0.0000, 0.0000)
Hg (0.0000, 0.0000, 0.5000)
Sb (0.5000, 0.5000, 0.5000)
Au (0.5000, 0.5000, 0.0000)

**Calculated total energy**: -10.703 eV/f.u.
**Excess energy over the best structure of this formula in the dataset**: 0.0 meV per atom
**Formation energy from raw total energies**: -259 meV/atom
**M_tot**: 0.00 μB per atom


(4)
DFT (PBE) results for ZnCN2F after structural relaxation.

abc: 3.9510 3.9510 3.9910
angles: 90.00 90.00 90.00
Sites, in units of the cell vectors:
Zn (0.0000, 0.0000, 0.0000)
C (0.5000, 0.5000, 0.5000)
N (0.0000, 0.5000, 0.0000)
N (0.5000, 0.0000, 0.0000)
F (0.0000, 0.0000, 0.5000)

**Calculated total energy**: -17.603 eV/f.u.
**Excess energy over the best structure of this formula in the dataset**: 1108.0 meV per atom
**Formation energy from raw total energies**: 2283 meV/atom
**M_tot**: 0.46 μB per atom


(5)
DFT (PBE) results for TbPrSnAu after structural relaxation.

abc: 5.3360 5.3360 5.3360
angles: 60.00 60.00 60.00
Sites, in units of the cell vectors:
Tb (0.0000, 0.0000, 0.0000)
Pr (0.5000, 0.5000, 0.5000)
Sn (0.2500, 0.2500, 0.2500)
Au (0.7500, 0.7500, 0.7500)

**Calculated total energy**: -19.512 eV/f.u.
**Energy relative to the elements**: -272 kJ/mol of formula units
**M_tot**: 0.19 μB per atom


(6)
DFT (PBE) results for SmDy4Tm4 after structural relaxation.

abc: 7.8900 7.8900 7.8900
angles: 95.70 95.70 143.27
Sites, in units of the cell vectors:
Sm (0.0000, 0.0000, 0.0000)
Dy (0.0000, 0.3330, 0.3330)
Dy (0.0000, 0.6670, 0.6670)
Dy (0.3330, 0.0000, 0.3330)
Dy (0.6670, 0.0000, 0.6670)
Tm (0.3328, 0.3328, 0.6657)
Tm (0.3328, 0.6672, 0.0000)
Tm (0.6672, 0.3328, 0.0000)
Tm (0.6672, 0.6672, 0.3343)

**Calculated total energy**: -40.812 eV/f.u.
**Energy relative to the elements**: 19 kJ/mol of formula units
**M_tot**: 0.00 μB per atom